The following is a DFT calculation (GGA+U) of a geometry-optimized MnPPbO2 structure.

Cell and atoms, written as POSCAR:
```
MnPPbO2
1.0
-1.330 1.190 -3.472
-1.825 -3.418 -0.472
-4.066 1.868 2.198
O Pb P Mn
2 1 1 1
direct
0.500 0.000 0.000
0.000 0.500 0.000
0.500 0.500 0.500
0.000 0.000 0.500
0.000 0.000 0.000
```

Summary:
M_tot in Bohr magnetons per cell: 3.08
Total energy in eV/atom: -5.78
Energy above the lowest structure with this stoichiometry in meV/atom: 0